# 1
DFT (GGA-PBE) results for an optimized crystal structure of HfZrIr4.

Results
The formation energy comes out at -65.5 kJ per mole of atoms. As for the symmetry: F-43m (216).

Cell and atoms, written as extended XYZ:
```
6
Lattice="0.0000 3.7062 3.7062 3.7062 0.0000 3.7062 3.7062 3.7062 0.0000" Properties=species:S:1:pos:R:3 pbc="T T T"
Hf 0.0000 0.0000 0.0000
Zr 5.5592 5.5592 5.5592
Ir 2.7784 2.7784 2.7784
Ir 4.6339 4.6339 2.7784
Ir 4.6339 2.7784 4.6339
Ir 2.7784 4.6339 4.6339
```


# 2
DFT (GGA-PBE) results for an optimized crystal structure of BeTe2O.

Results
The energy above the lowest structure with this stoichiometry is 0.106 eV/atom. As for the symmetry: I-42d (122). The calculation puts the formation energy (no corrections) at 0.06 eV per atom.

Cell and atoms, written as extended XYZ:
```
8
Lattice="-2.6075 2.6075 6.3247 2.6075 -2.6075 6.3247 2.6075 2.6075 -6.3247" Properties=species:S:1:pos:R:3 pbc="T T T"
Be 0.0000 0.0000 0.0000
Be 0.0000 2.6075 3.1624
Te 1.3038 -1.1899 4.7435
Te 1.4176 1.3038 1.5812
Te 1.3038 3.7975 -1.5812
Te 1.1899 1.3038 7.9059
O 2.6075 0.0000 3.1624
O 0.0000 0.0000 6.3247
```


# 3
DFT (GGA-PBE) results for an optimized crystal structure of PrEr14Tm.

Results
The formation energy comes out at 0.8 kJ per mole of atoms. As for the symmetry: Amm2 (38).

Cell and atoms, written as extended XYZ:
```
16
Lattice="11.3623 0.0000 0.0000 0.0000 3.5362 6.1235 0.0000 -3.5362 6.1235" Properties=species:S:1:pos:R:3 pbc="T T T"
Pr 0.0000 0.0000 0.0000
Er 0.0000 1.7685 9.1841
Er 0.0000 -1.7685 9.1841
Er 2.8384 0.0000 8.1639
Er 2.8661 -1.7631 5.1005
Er 2.8661 1.7631 5.1005
Er 2.8692 0.0000 2.0463
Er 5.6812 0.0000 4.0830
Er 5.6812 -1.7658 7.1452
Er 5.6812 1.7658 7.1452
Er 5.6812 0.0000 10.2036
Er 8.4932 0.0000 2.0463
Er 8.4963 -1.7631 5.1005
Er 8.4963 1.7631 5.1005
Er 8.5239 0.0000 8.1639
Tm 0.0000 0.0000 6.1230
```


# 4
DFT (GGA-PBE) results for an optimized crystal structure of AcPd2Au4.

Results
The formation energy comes out at -3.2 kJ per mole of atoms. The energy above the lowest structure with this stoichiometry is 0.483 eV/atom. As for the symmetry: I4/mmm (139).

Cell and atoms, written as extended XYZ:
```
7
Lattice="-4.1850 4.1850 2.7082 4.1850 -4.1850 2.7082 4.1850 4.1850 -2.7082" Properties=species:S:1:pos:R:3 pbc="T T T"
Ac 0.0000 0.0000 0.0000
Pd 4.1850 0.0000 1.3541
Pd 0.0000 4.1850 1.3541
Au 4.1850 2.2705 0.0000
Au 2.2705 4.1850 0.0000
Au 1.9145 0.0000 2.7082
Au 0.0000 1.9145 2.7082
```


# 5
DFT (GGA-PBE) results for an optimized crystal structure of TiCuAgS3.

Results
As for the symmetry: P2_1/m (11). The calculation puts the formation energy (no corrections) at -0.68 eV per atom.

Cell and atoms, written as extended XYZ:
```
12
Lattice="7.6741 0.0000 0.0000 0.0000 3.5328 0.0000 -2.4528 0.0000 8.3373" Properties=species:S:1:pos:R:3 pbc="T T T"
Ti 0.7410 0.8832 1.6177
Ti 4.4802 2.6496 6.7197
Cu 1.8487 2.6496 3.5858
Cu 3.3725 0.8832 4.7515
Ag 0.6635 0.8832 7.3110
Ag 4.5577 2.6496 1.0263
S -0.2684 2.6496 2.8755
S -1.1097 2.6496 8.2087
S 2.9991 0.8832 2.4371
S 2.2221 2.6496 5.9002
S 6.3309 0.8832 0.1286
S 5.4897 0.8832 5.4618
```


# 6
DFT (GGA-PBE) results for an optimized crystal structure of MnNbPt4.

Results
The formation energy comes out at -25.6 kJ per mole of atoms. The energy above the lowest structure with this stoichiometry is 0.234 eV/atom. As for the symmetry: C2/m (12).

Cell and atoms, written as extended XYZ:
```
6
Lattice="2.7820 -3.5216 0.0000 2.7820 3.5216 0.0000 -0.1499 0.0000 5.5946" Properties=species:S:1:pos:R:3 pbc="T T T"
Mn 0.0000 0.0000 0.0000
Nb 2.7071 0.0000 2.7973
Pt 1.2810 1.7413 4.2277
Pt 1.2810 -1.7413 4.2277
Pt 4.1332 1.7413 1.3669
Pt 4.1332 -1.7413 1.3669
```


# 7
DFT (GGA-PBE) results for an optimized crystal structure of Pm3SbI3.

Results
As for the symmetry: R-3 (148). The calculation puts the formation energy (no corrections) at -1.16 eV per atom.

Cell and atoms, written as extended XYZ:
```
14
Lattice="3.7707 2.1770 11.5787 -3.7707 2.1770 11.5787 0.0000 -4.3540 11.5787" Properties=species:S:1:pos:R:3 pbc="T T T"
Pm -1.2412 -2.2042 13.2808
Pm -2.5295 -0.0272 21.4554
Pm -1.2883 2.1770 13.2808
Pm 1.2883 -2.1770 21.4554
Pm 2.5295 0.0272 13.2808
Pm 1.2412 2.2042 21.4554
Sb 0.0000 0.0000 11.5788
Sb 0.0000 0.0000 23.1574
I -2.5005 -0.0228 15.2975
I -1.2305 -2.1769 19.4386
I 1.2700 -2.1541 15.2975
I -1.2700 2.1541 19.4386
I 1.2305 2.1769 15.2975
I 2.5005 0.0228 19.4386
```


# 8
DFT (GGA-PBE) results for an optimized crystal structure of PmPuPa2N6.

Results
As for the symmetry: R3 (146). The calculation puts the formation energy (no corrections) at -1.36 eV per atom.

Cell and atoms, written as extended XYZ:
```
10
Lattice="3.0033 1.7340 4.9638 -3.0033 1.7340 4.9638 0.0000 -3.4679 4.9638" Properties=species:S:1:pos:R:3 pbc="T T T"
Pm 0.0000 0.0000 0.0000
Pu 0.0000 0.0000 7.1590
Pa 0.0000 0.0000 3.9173
Pa 0.0000 0.0000 11.4644
N -1.6272 -0.1579 5.5927
N -1.2110 -1.7581 7.9643
N 0.9503 -1.3303 5.5927
N -0.9171 1.9278 7.9643
N 0.6769 1.4882 5.5927
N 2.1281 -0.1697 7.9643
```


# 9
DFT (GGA-PBE) results for an optimized crystal structure of Be2VZnCr.

Results
The formation energy comes out at 117.4 kJ per mole of atoms. As for the symmetry: P4/mmm (123).

Cell and atoms, written as extended XYZ:
```
5
Lattice="3.9800 0.0000 0.0000 0.0000 3.9800 0.0000 0.0000 0.0000 4.4020" Properties=species:S:1:pos:R:3 pbc="T T T"
Be 0.0000 1.9900 0.0000
Be 1.9900 0.0000 0.0000
V 0.0000 0.0000 2.2010
Zn 1.9900 1.9900 2.2010
Cr 1.9900 1.9900 0.0000
```


# 10
DFT (GGA-PBE) results for an optimized crystal structure of Sc4Cd3.

Results
The formation energy comes out at -16.8 kJ per mole of atoms. The energy above the lowest structure with this stoichiometry is 0.000 eV/atom. As for the symmetry: I4/mmm (139).

Cell and atoms, written as extended XYZ:
```
7
Lattice="-1.6173 1.6173 15.3123 1.6173 -1.6173 15.3123 1.6173 1.6173 -15.3123" Properties=species:S:1:pos:R:3 pbc="T T T"
Sc 0.0000 0.0000 2.1400
Sc 0.0000 0.0000 10.8682
Sc 0.0000 0.0000 19.7564
Sc 0.0000 0.0000 28.4847
Cd 0.0000 0.0000 6.5916
Cd 0.0000 0.0000 15.3123
Cd 0.0000 0.0000 24.0331
```


# 11
DFT (GGA-PBE) results for an optimized crystal structure of Na2SrGe.

Results
The formation energy comes out at 26.5 kJ per mole of atoms. As for the symmetry: R-3m (166).

Cell and atoms, written as extended XYZ:
```
4
Lattice="1.9011 1.0976 11.9945 -1.9011 1.0976 11.9945 0.0000 -2.1952 11.9945" Properties=species:S:1:pos:R:3 pbc="T T T"
Na 0.0000 0.0000 3.8370
Na 0.0000 0.0000 32.1464
Sr 0.0000 0.0000 0.0000
Ge 0.0000 0.0000 17.9917
```


# 12
DFT (GGA-PBE) results for an optimized crystal structure of V4Re2Mo.

Results
The formation energy comes out at 16.2 kJ per mole of atoms. The energy above the lowest structure with this stoichiometry is 0.056 eV/atom. As for the symmetry: P2/m (10).

Cell and atoms, written as extended XYZ:
```
7
Lattice="4.6348 0.0000 0.0000 0.0000 2.8373 0.0000 -0.8797 0.0000 7.7178" Properties=species:S:1:pos:R:3 pbc="T T T"
V 0.0778 0.0000 1.0877
V 0.5685 1.4187 3.0905
V 3.1866 1.4187 4.6273
V 3.6773 0.0000 6.6300
Re 1.0563 0.0000 5.2645
Re 2.6988 0.0000 2.4533
Mo 2.3174 1.4187 0.0000
```


# 13
DFT (GGA-PBE) results for an optimized crystal structure of Be2CoReIr.

Results
The formation energy comes out at 79.8 kJ per mole of atoms. As for the symmetry: P4/mmm (123).

Cell and atoms, written as extended XYZ:
```
5
Lattice="3.8969 0.0000 0.0000 0.0000 3.8969 0.0000 0.0000 0.0000 4.3776" Properties=species:S:1:pos:R:3 pbc="T T T"
Be 0.0000 1.9484 0.0000
Be 1.9484 0.0000 0.0000
Co 0.0000 0.0000 0.0000
Re 0.0000 0.0000 2.1888
Ir 1.9484 1.9484 2.1888
```


# 14
DFT (GGA-PBE) results for an optimized crystal structure of PmNbRuRh.

Results
The formation energy comes out at -18.5 kJ per mole of atoms. As for the symmetry: F-43m (216).

Cell and atoms, written as extended XYZ:
```
4
Lattice="0.0000 3.3345 3.3345 3.3345 0.0000 3.3345 3.3345 3.3345 0.0000" Properties=species:S:1:pos:R:3 pbc="T T T"
Pm 0.0000 0.0000 0.0000
Nb 3.3345 3.3345 3.3345
Ru 5.0018 5.0018 5.0018
Rh 1.6673 1.6673 1.6673
```


# 15
DFT (GGA-PBE) results for an optimized crystal structure of Nb2SeNO.

Results
As for the symmetry: P4/mmm (123). The calculation puts the formation energy (no corrections) at 1.37 eV per atom.

Cell and atoms, written as extended XYZ:
```
5
Lattice="4.8465 0.0000 0.0000 0.0000 4.8465 0.0000 0.0000 0.0000 3.7163" Properties=species:S:1:pos:R:3 pbc="T T T"
Nb 0.0000 2.4233 0.0000
Nb 2.4233 0.0000 0.0000
Se 0.0000 0.0000 0.0000
N 2.4233 2.4233 1.8581
O 0.0000 0.0000 1.8581
```


# 16
DFT (GGA-PBE) results for an optimized crystal structure of CaCdCl2F.

Results
As for the symmetry: P4/mmm (123). The calculation puts the formation energy (no corrections) at -1.44 eV per atom.

Cell and atoms, written as extended XYZ:
```
5
Lattice="5.4525 0.0000 0.0000 0.0000 5.4525 0.0000 0.0000 0.0000 4.3236" Properties=species:S:1:pos:R:3 pbc="T T T"
Ca 0.0000 0.0000 0.0000
Cd 2.7262 2.7262 2.1618
Cl 0.0000 2.7262 2.1618
Cl 2.7262 0.0000 2.1618
F 2.7262 2.7262 0.0000
```


# 17
DFT (GGA-PBE) results for an optimized crystal structure of TbCe2C2.

Results
The formation energy comes out at 8.0 kJ per mole of atoms. The energy above the lowest structure with this stoichiometry is 0.208 eV/atom. As for the symmetry: P4/mnc (128).

Cell and atoms, written as extended XYZ:
```
20
Lattice="6.5804 0.0000 0.0000 0.0000 6.5804 0.0000 0.0000 0.0000 8.0288" Properties=species:S:1:pos:R:3 pbc="T T T"
Tb 0.0000 0.0000 2.0026
Tb 0.0000 0.0000 6.0262
Tb 3.2902 3.2902 2.0118
Tb 3.2902 3.2902 6.0170
Ce 1.1935 2.0998 0.0000
Ce 1.1904 2.0967 4.0144
Ce 2.0998 5.3870 0.0000
Ce 2.0967 5.3900 4.0144
Ce 4.4806 1.1935 0.0000
Ce 4.4837 1.1904 4.0144
Ce 5.3870 4.4806 0.0000
Ce 5.3900 4.4837 4.0144
C 0.5117 3.8019 2.0072
C 0.5117 3.8019 6.0216
C 2.7785 0.5117 2.0072
C 2.7785 0.5117 6.0216
C 3.8019 6.0688 2.0072
C 3.8019 6.0688 6.0216
C 6.0688 2.7785 2.0072
C 6.0688 2.7785 6.0216
```


# 18
DFT (GGA-PBE) results for an optimized crystal structure of Sr2Li3CaMg12.

Results
The formation energy comes out at 22.1 kJ per mole of atoms. As for the symmetry: R-3m (166).

Cell and atoms, written as extended XYZ:
```
18
Lattice="4.4085 2.5452 8.0045 -4.4085 2.5452 8.0045 0.0000 -5.0905 8.0045" Properties=species:S:1:pos:R:3 pbc="T T T"
Sr 0.0000 0.0000 1.9850
Sr 0.0000 0.0000 22.0286
Li -2.2042 -1.2726 8.0045
Li -2.2042 1.2726 16.0091
Li 0.0000 2.5452 8.0045
Ca 0.0000 0.0000 12.0068
Mg -2.7908 -1.6112 11.0354
Mg 0.0000 -1.8569 9.4447
Mg -1.6081 0.9284 9.4447
Mg 0.0000 -3.2225 12.9783
Mg -2.7908 1.6112 12.9783
Mg -1.6081 -0.9284 14.5689
Mg 1.6081 0.9284 9.4447
Mg 2.7908 -1.6112 11.0354
Mg 0.0000 3.2225 11.0354
Mg 1.6081 -0.9284 14.5690
Mg 0.0000 1.8569 14.5690
Mg 2.7908 1.6112 12.9783
```


# 19
DFT (GGA-PBE) results for an optimized crystal structure of MgRe.

Results
The formation energy comes out at 24.7 kJ per mole of atoms. The energy above the lowest structure with this stoichiometry is 0.190 eV/atom. As for the symmetry: Cmme (67).

Cell and atoms, written as extended XYZ:
```
4
Lattice="1.5240 -2.3206 0.0000 1.5240 2.3206 0.0000 0.0000 0.0000 9.5297" Properties=species:S:1:pos:R:3 pbc="T T T"
Mg 1.5240 1.1603 8.1812
Mg 1.5240 -1.1603 1.3485
Re 1.5240 1.1603 3.7049
Re 1.5240 -1.1603 5.8247
```


# 20
DFT (GGA-PBE) results for an optimized crystal structure of LaDy3Y6Sc2.

Results
The formation energy comes out at 4.3 kJ per mole of atoms. As for the symmetry: C2/m (12).

Cell and atoms, written as extended XYZ:
```
12
Lattice="3.0551 -5.2887 0.0000 3.0551 5.2887 0.0000 -2.0254 0.0000 11.5450" Properties=species:S:1:pos:R:3 pbc="T T T"
La 0.0000 0.0000 0.0000
Dy 2.0424 3.5176 5.7725
Dy 2.0424 0.0000 5.7725
Dy 2.0424 -3.5176 5.7725
Y 1.0344 1.7797 2.8630
Y 0.0271 0.0000 8.6807
Y 1.0344 -1.7797 2.8630
Y 3.0504 1.7797 8.6820
Y 4.0576 0.0000 2.8643
Y 3.0504 -1.7797 8.6820
Sc 3.0551 1.7626 0.0000
Sc 3.0551 -1.7626 0.0000
```


# 21
DFT (GGA-PBE) results for an optimized crystal structure of La2CuHgRu.

Results
The formation energy comes out at -11.8 kJ per mole of atoms. As for the symmetry: P4/mmm (123).

Cell and atoms, written as extended XYZ:
```
5
Lattice="5.3276 0.0000 0.0000 0.0000 5.3276 0.0000 0.0000 0.0000 4.9117" Properties=species:S:1:pos:R:3 pbc="T T T"
La 0.0000 2.6638 0.0000
La 2.6638 0.0000 0.0000
Cu 0.0000 0.0000 2.4558
Hg 2.6638 2.6638 2.4558
Ru 0.0000 0.0000 0.0000
```


# 22
DFT (GGA-PBE) results for an optimized crystal structure of GdMgGaRh.

Results
The formation energy comes out at -48.8 kJ per mole of atoms. As for the symmetry: F-43m (216).

Cell and atoms, written as extended XYZ:
```
4
Lattice="0.0000 3.3905 3.3905 3.3905 0.0000 3.3905 3.3905 3.3905 0.0000" Properties=species:S:1:pos:R:3 pbc="T T T"
Gd 0.0000 0.0000 0.0000
Mg 3.3905 3.3905 3.3905
Ga 1.6953 1.6953 1.6953
Rh 5.0858 5.0858 5.0858
```


# 23
DFT (GGA-PBE) results for an optimized crystal structure of TiV2C.

Results
The formation energy comes out at -34.9 kJ per mole of atoms. As for the symmetry: Cmcm (63).

Cell and atoms, written as extended XYZ:
```
8
Lattice="1.5430 -4.3794 0.0000 1.5430 4.3794 0.0000 0.0000 0.0000 6.8672" Properties=species:S:1:pos:R:3 pbc="T T T"
Ti 1.5430 3.9236 5.1504
Ti 1.5430 -3.9236 1.7168
V 1.5430 1.3286 3.8238
V 1.5430 1.3286 6.4770
V 1.5430 -1.3286 0.3902
V 1.5430 -1.3286 3.0434
C 1.5430 2.3107 1.7168
C 1.5430 -2.3107 5.1504
```


# 24
DFT (GGA-PBE) results for an optimized crystal structure of ZnAgSn.

Results
The formation energy comes out at 4.5 kJ per mole of atoms. As for the symmetry: P-1 (2).

Cell and atoms, written as extended XYZ:
```
6
Lattice="4.1311 0.0000 0.0000 2.0510 4.5775 0.0000 0.0127 1.9097 6.6419" Properties=species:S:1:pos:R:3 pbc="T T T"
Zn 1.0280 1.7556 1.2445
Zn 5.1668 4.7316 5.3973
Ag 3.0837 3.5795 0.5697
Ag 3.1111 2.9077 6.0721
Sn 1.0545 1.9331 4.2187
Sn 5.1403 4.5542 2.4232
```


These records have volume values of 16.97 21.50 30.76 27.10 18.84 18.27 40.73 15.51 13.95 22.89 37.54 14.50 13.30 18.54 17.46 25.71 17.38 29.94 16.85 31.09 27.88 19.49 11.60 20.93 A^3/atom, in the order they appear.
These records have VASP energy values of -9.669 -3.680 -4.562 -3.976 -5.214 -7.499 -4.452 -10.159 -4.277 -4.184 -1.960 -10.147 -6.346 -8.054 -6.010 -3.138 -6.906 -1.451 -6.765 -5.803 -4.828 -7.020 -9.201 -2.663 eV/atom, in the order they appear.
These records have mass density values of 16.94 5.41 8.95 10.75 4.64 14.06 5.46 10.01 4.44 5.36 2.28 11.00 11.38 9.90 5.61 3.13 8.85 1.63 10.37 5.56 7.66 7.54 5.79 7.72 g/cm3, in the order they appear.